The following is a PBEsol calculation of a relaxed structure of KSi, from Alexandria via LeMat-Bulk.

POSCAR file:
```
KSi
1.0
-1.921 2.802 5.300
1.921 -2.802 5.300
1.921 2.802 -5.300
K Si
2 2
direct
0.341 0.091 0.250 K
0.659 0.909 0.750 K
0.062 0.312 0.750 Si
0.938 0.688 0.250 Si
```

Computed properties:
ΔE to the lowest computed polymorph ... 0.0863 eV per atom
Fermi-level density of states ... 0.69 states/eV/f.u.
Theoretical density ... 1.955 g/cm3
Space-group type ... No. 74
E ... -3.418 eV/atom
ΔE_f (raw) ... 0.02 eV per atom